Run one
First-principles (PBE) data for a geometry-optimized Cs2AgPbCl6 structure, as listed in OQMD via LeMat-Bulk.

a = 7.6429 Å, b = 7.6429 Å, c = 7.6429 Å
α = 59.95°, β = 59.95°, γ = 59.95°
Sites, in units of the cell vectors:
Cs  0.2499  0.2499  0.2499
Cs  0.7501  0.7501  0.7501
Ag  0.0000  0.0000  0.0000
Pb  0.5000  0.5000  0.5000
Cl  0.2435  0.2458  0.7550
Cl  0.2450  0.7565  0.7542
Cl  0.2458  0.7550  0.2435
Cl  0.7542  0.2450  0.7565
Cl  0.7550  0.2435  0.2458
Cl  0.7565  0.7542  0.2450

Run two
First-principles (PBE) data for a geometry-optimized Cs2AgPbCl6 structure, as listed in OQMD via LeMat-Bulk.

a = 13.6101 Å, b = 13.6101 Å, c = 13.6101 Å
α = 32.20°, β = 32.20°, γ = 32.20°
Sites, in units of the cell vectors:
Cs  0.1255  0.1255  0.1255
Cs  0.2894  0.2894  0.2894
Cs  0.7106  0.7106  0.7106
Cs  0.8745  0.8745  0.8745
Ag  0.4134  0.4134  0.4134
Ag  0.5866  0.5866  0.5866
Pb  0.0000  0.0000  0.0000
Pb  0.5000  0.5000  0.5000
Cl  0.1155  0.6244  0.6244
Cl  0.2089  0.2089  0.7038
Cl  0.2089  0.7038  0.2089
Cl  0.2962  0.7911  0.7911
Cl  0.3756  0.3756  0.8845
Cl  0.3756  0.8845  0.3756
Cl  0.6244  0.1155  0.6244
Cl  0.6244  0.6244  0.1155
Cl  0.7038  0.2089  0.2089
Cl  0.7911  0.2962  0.7911
Cl  0.7911  0.7911  0.2962
Cl  0.8845  0.3756  0.3756

Energies relative to the most stable structure, in kJ/mol of atoms: run one 0.0; run two 2.9.

Run one
First-principles (PBE) data for a geometry-optimized Tl2CuAgCl6 structure, as listed in OQMD via LeMat-Bulk.

a = 7.0110 Å, b = 7.0110 Å, c = 7.0110 Å
α = 59.88°, β = 59.88°, γ = 59.88°
Sites, in units of the cell vectors:
Tl  0.2500  0.2500  0.2500
Tl  0.7500  0.7500  0.7500
Cu  0.0000  0.0000  0.0000
Ag  0.5000  0.5000  0.5000
Cl  0.2405  0.2426  0.7579
Cl  0.2421  0.7595  0.7574
Cl  0.2426  0.7579  0.2405
Cl  0.7574  0.2421  0.7595
Cl  0.7579  0.2405  0.2426
Cl  0.7595  0.7574  0.2421

Run two
First-principles (PBE) data for a geometry-optimized Tl2CuAgCl6 structure, as listed in OQMD via LeMat-Bulk.

a = 7.1782 Å, b = 7.1782 Å, c = 6.0145 Å
α = 96.46°, β = 96.46°, γ = 58.06°
Sites, in units of the cell vectors:
Tl  0.1991  0.1991  0.1782
Tl  0.8009  0.8009  0.8218
Cu  0.5000  0.5000  0.0000
Ag  0.0000  0.0000  0.5000
Cl  0.1697  0.6785  0.2342
Cl  0.3215  0.8303  0.7658
Cl  0.3370  0.3370  0.7898
Cl  0.6630  0.6630  0.2102
Cl  0.6785  0.1697  0.2342
Cl  0.8303  0.3215  0.7658

Energies relative to the most stable structure, in kJ/mol of atoms: run one 0.0; run two 3.6.

Run one
First-principles (PBE) data for a geometry-optimized Tl2InAgCl6 structure, as listed in OQMD via LeMat-Bulk.

a = 7.2542 Å, b = 7.2542 Å, c = 7.5377 Å
α = 120.31°, β = 120.31°, γ = 59.93°
Sites, in units of the cell vectors:
Tl  0.2488  0.2488  0.2357
Tl  0.7512  0.7512  0.7643
In  0.5000  0.5000  0.0000
Ag  0.0000  0.0000  0.5000
Cl  0.2077  0.6987  0.1893
Cl  0.2581  0.2581  0.6769
Cl  0.3013  0.7923  0.8107
Cl  0.6987  0.2077  0.1893
Cl  0.7419  0.7419  0.3231
Cl  0.7923  0.3013  0.8107

Run two
First-principles (PBE) data for a geometry-optimized Tl2InAgCl6 structure, as listed in OQMD via LeMat-Bulk.

a = 7.1199 Å, b = 7.1199 Å, c = 14.1283 Å
α = 90.00°, β = 90.00°, γ = 120.00°
Sites, in units of the cell vectors:
Tl  0.3333  0.6667  0.1506
Tl  0.3333  0.6667  0.3494
Tl  0.6667  0.3333  0.6506
Tl  0.6667  0.3333  0.8494
In  0.3333  0.6667  0.7500
In  0.6667  0.3333  0.2500
Ag  0.0000  0.0000  0.2500
Ag  0.0000  0.0000  0.7500
Cl  0.0008  0.2979  0.3900
Cl  0.0008  0.7029  0.1100
Cl  0.2971  0.2979  0.1100
Cl  0.2971  0.9992  0.3900
Cl  0.2979  0.0008  0.8900
Cl  0.2979  0.2971  0.6100
Cl  0.7021  0.7029  0.3900
Cl  0.7021  0.9992  0.1100
Cl  0.7029  0.0008  0.6100
Cl  0.7029  0.7021  0.8900
Cl  0.9992  0.2971  0.8900
Cl  0.9992  0.7021  0.6100

Energies relative to the most stable structure, in kJ/mol of atoms: run one 0.0; run two 36.6.

Run one
First-principles (PBE) data for a geometry-optimized K2NbAgCl6 structure, as listed in OQMD via LeMat-Bulk.

a = 7.1127 Å, b = 7.1127 Å, c = 7.1127 Å
α = 62.39°, β = 62.39°, γ = 62.39°
Sites, in units of the cell vectors:
K  0.0000  0.0000  0.0000
K  0.4837  0.4837  0.4837
Nb  0.7436  0.7436  0.7436
Ag  0.2429  0.2429  0.2429
Cl  0.0605  0.9035  0.5166
Cl  0.4275  0.5832  0.9725
Cl  0.5166  0.0605  0.9035
Cl  0.5832  0.9725  0.4275
Cl  0.9035  0.5166  0.0605
Cl  0.9725  0.4275  0.5832

Summary:
Its total magnetization is 2.00 Bohr magnetons per cell.

Run two
First-principles (PBE) data for a geometry-optimized K2NbAgCl6 structure, as listed in OQMD via LeMat-Bulk.

a = 7.2956 Å, b = 7.2956 Å, c = 7.2956 Å
α = 60.00°, β = 60.00°, γ = 60.00°
Sites, in units of the cell vectors:
K  0.2500  0.2500  0.2500
K  0.7500  0.7500  0.7500
Nb  0.0000  0.0000  0.0000
Ag  0.5000  0.5000  0.5000
Cl  0.2410  0.2410  0.7590
Cl  0.2410  0.7590  0.2410
Cl  0.2410  0.7590  0.7590
Cl  0.7590  0.2410  0.2410
Cl  0.7590  0.2410  0.7590
Cl  0.7590  0.7590  0.2410

Summary:
Its total magnetization is 2.00 Bohr magnetons per cell.

Energies relative to the most stable structure, in kJ/mol of atoms: run one 0.0; run two 2.0.

Run one
First-principles (PBE) data for a geometry-optimized K2AgPbCl6 structure, as listed in OQMD via LeMat-Bulk.

a = 7.3118 Å, b = 7.4940 Å, c = 12.7207 Å
α = 90.00°, β = 124.94°, γ = 90.00°
Sites, in units of the cell vectors:
K  0.2293  0.0692  0.2487
K  0.2293  0.4308  0.7487
K  0.7707  0.5692  0.2513
K  0.7707  0.9308  0.7513
Ag  0.0000  0.0000  0.5000
Ag  0.0000  0.5000  0.0000
Pb  0.5000  0.0000  0.0000
Pb  0.5000  0.5000  0.5000
Cl  0.1434  0.2041  0.9521
Cl  0.1434  0.2959  0.4521
Cl  0.2539  0.6923  0.9550
Cl  0.2539  0.8077  0.4550
Cl  0.3357  0.0193  0.7431
Cl  0.3357  0.4807  0.2431
Cl  0.6643  0.5193  0.7569
Cl  0.6643  0.9807  0.2569
Cl  0.7461  0.1923  0.5450
Cl  0.7461  0.3077  0.0450
Cl  0.8566  0.7041  0.5479
Cl  0.8566  0.7959  0.0479

Run two
First-principles (PBE) data for a geometry-optimized K2AgPbCl6 structure, as listed in OQMD via LeMat-Bulk.

a = 7.4851 Å, b = 7.4851 Å, c = 7.4851 Å
α = 121.17°, β = 121.17°, γ = 87.98°
Sites, in units of the cell vectors:
K  0.2500  0.7500  0.5000
K  0.7500  0.2500  0.5000
Ag  0.0000  0.0000  0.0000
Pb  0.5000  0.5000  0.0000
Cl  0.1759  0.6888  0.8648
Cl  0.2457  0.2457  0.0000
Cl  0.3112  0.1759  0.4871
Cl  0.6888  0.8241  0.5129
Cl  0.7543  0.7543  0.0000
Cl  0.8241  0.3112  0.1352

Run three
First-principles (PBE) data for a geometry-optimized K2AgPbCl6 structure, as listed in OQMD via LeMat-Bulk.

a = 7.5411 Å, b = 7.5411 Å, c = 7.5406 Å
α = 119.95°, β = 119.95°, γ = 60.06°
Sites, in units of the cell vectors:
K  0.2499  0.2499  0.2499
K  0.7501  0.7501  0.7501
Ag  0.0000  0.0000  0.5000
Pb  0.5000  0.5000  0.0000
Cl  0.2444  0.2444  0.7430
Cl  0.2436  0.7545  0.2548
Cl  0.2455  0.7564  0.7452
Cl  0.7545  0.2436  0.2548
Cl  0.7564  0.2455  0.7452
Cl  0.7556  0.7556  0.2570

Energies relative to the most stable structure, in kJ/mol of atoms: run one 0.0; run two 0.9; run three 2.6.

Run one
First-principles (PBE) data for a geometry-optimized K2AgPbCl6 structure, as listed in OQMD via LeMat-Bulk.

a = 7.5501 Å, b = 7.5501 Å, c = 7.5501 Å
α = 59.90°, β = 59.90°, γ = 59.90°
Sites, in units of the cell vectors:
K  0.2501  0.2501  0.2501
K  0.7499  0.7499  0.7499
Ag  0.0000  0.0000  0.0000
Pb  0.5000  0.5000  0.5000
Cl  0.2425  0.7552  0.2464
Cl  0.2448  0.7536  0.7575
Cl  0.2464  0.2425  0.7552
Cl  0.7536  0.7575  0.2448
Cl  0.7552  0.2464  0.2425
Cl  0.7575  0.2448  0.7536

Run two
First-principles (PBE) data for a geometry-optimized K2AgPbCl6 structure, as listed in OQMD via LeMat-Bulk.

a = 7.3325 Å, b = 7.4157 Å, c = 10.7134 Å
α = 90.35°, β = 90.01°, γ = 90.19°
Sites, in units of the cell vectors:
K  0.2376  0.2687  0.9999
K  0.2613  0.2318  0.5002
K  0.7387  0.7682  0.4998
K  0.7624  0.7313  0.0001
Ag  0.2502  0.7499  0.2500
Ag  0.7498  0.2501  0.7500
Pb  0.2498  0.7502  0.7500
Pb  0.7502  0.2498  0.2500
Cl  0.0609  0.4280  0.7287
Cl  0.0736  0.0604  0.2416
Cl  0.2332  0.7134  0.0049
Cl  0.2665  0.7868  0.4951
Cl  0.4265  0.4393  0.2582
Cl  0.4388  0.0723  0.7713
Cl  0.5612  0.9277  0.2287
Cl  0.5735  0.5607  0.7418
Cl  0.7335  0.2132  0.5049
Cl  0.7668  0.2866  0.9951
Cl  0.9264  0.9396  0.7584
Cl  0.9391  0.5720  0.2713

Energies relative to the most stable structure, in kJ/mol of atoms: run one 1.9; run two 0.0.